# 1
Ce2PmDyTl4 (PBE, relaxed); size of the total moment = 0.2678 μB per atom; DFT total energy = -33.0 eV for the cell shown
1.0
-0.988 -5.281 1.034
4.157 -3.535 0.390
1.607 -1.321 9.263
Tl Dy Ce Pm
4 1 2 1
Direct
0.376 0.376 0.872
0.624 0.624 0.128
0.126 0.126 0.622
0.874 0.874 0.378
0.500 0.500 0.500
0.250 0.250 0.251
0.750 0.750 0.749
0.000 0.000 0.000

# 2
Ti3Ni13 (PBE, relaxed); size of the total moment = 0.0000 μB per atom; DFT total energy = -103.2 eV for the cell shown
1.0
5.065 -0.084 0.000
-0.102 5.065 0.000
0.000 0.000 7.258
Ni Ti
13 3
Direct
0.508 0.999 0.253
0.001 0.492 0.253
0.753 0.777 0.000
0.264 0.256 0.500
0.252 0.748 0.000
0.223 0.247 0.000
0.498 0.502 0.754
0.751 0.249 0.500
0.744 0.736 0.500
0.508 0.999 0.747
0.257 0.743 0.500
0.001 0.492 0.747
0.498 0.502 0.246
0.715 0.285 0.000
0.013 0.987 0.732
0.013 0.987 0.268

# 3
KNa2BO3 (PBE, relaxed); size of the total moment = 0.0000 μB per atom; formation energy without anion corrections = -1969 meV/atom; DFT total energy = -78.1 eV for the cell shown
1.0
5.644 0.000 0.000
0.000 5.650 0.000
0.000 0.000 6.106
Na O B K
4 6 2 2
Direct
0.373 0.500 0.771
0.627 0.000 0.271
0.627 0.000 0.729
0.373 0.500 0.229
0.666 0.288 0.000
0.666 0.712 0.000
0.958 0.000 0.500
0.334 0.212 0.500
0.334 0.788 0.500
0.042 0.500 0.000
0.796 0.500 0.000
0.204 0.000 0.500
0.924 0.500 0.500
0.076 0.000 0.000

# 4
Si2Ag (PBE, relaxed); size of the total moment = 0.0000 μB per atom; formation energy without anion corrections = 462 meV/atom; DFT total energy = -24.6 eV for the cell shown
1.0
-1.876 1.876 7.604
1.876 -1.876 7.604
1.876 1.876 -7.604
Ag Si
2 4
Direct
0.750 0.250 0.500
0.000 0.000 0.000
0.172 0.672 0.500
0.422 0.422 0.000
0.578 0.578 0.000
0.328 0.828 0.500

# 5
Na2Cd4Pb3 (PBE, relaxed); size of the total moment = 0.0000 μB per atom; DFT total energy = -17.9 eV for the cell shown
1.0
-1.282 -3.052 3.159
-3.498 -4.304 -2.210
5.854 -6.954 -4.364
Na Pb Cd
2 3 4
Direct
0.336 0.325 0.780
0.664 0.675 0.220
0.000 0.000 0.000
0.339 0.326 0.440
0.661 0.674 0.560
0.006 0.983 0.672
0.994 0.017 0.328
0.670 0.661 0.891
0.330 0.339 0.109

Volume values (in Å³ per cell) by entry order: 232, 186, 195, 107, 238.